[1]
Computed, not measured: a relaxed TiCoAs2Se crystal at the PBEsol level of DFT.

The structure belongs to space group P4/mmm (No. 123); the cell edges are 4.7889, 4.7889 and 4.7556 Å and the angles 90.00°, 90.00° and 90.00°. The inequivalent atoms are Ti at (0.0000, 0.0000, 0.0000), Co at (0.5000, 0.5000, 0.5000), As at (0.0000, 0.5000, 0.0000) and Se at (0.0000, 0.0000, 0.5000).

As for the total energy: -27.0 eV per cell. Its uncorrected formation energy is 3.1 eV per formula unit.

---

[2]
Computed, not measured: a relaxed Li2CrGa crystal at the PBEsol level of DFT.

The structure belongs to space group I-42d (No. 122); the cell edges are 7.0497, 7.0497 and 5.1134 Å and the angles 90.00°, 90.00° and 90.00°. The inequivalent atoms are Li at (0.2390, 0.7500, 0.1250), Cr at (0.0000, 0.0000, 0.5000) and Ga at (0.0000, 0.0000, 0.0000).

As for the total energy: -63.7 eV per cell.

---

[3]
Computed, not measured: a relaxed ZrNiTeN2 crystal at the PBEsol level of DFT.

The structure belongs to space group P4/mmm (No. 123); the cell edges are 3.9240, 3.9240 and 4.6988 Å and the angles 90.00°, 90.00° and 90.00°. The inequivalent atoms are Zr at (0.0000, 0.0000, 0.0000), Ni at (0.5000, 0.5000, 0.5000), Te at (0.5000, 0.5000, 0.0000) and N at (0.0000, 0.5000, 0.5000).

As for the total energy: -31.8 eV per cell. Its uncorrected formation energy is 4.0 eV per formula unit.

---

[4]
Computed, not measured: a relaxed AlCdHg3 crystal at the PBEsol level of DFT.

The structure belongs to space group Pm-3m (No. 221); the cell edges are 5.3195, 5.3195 and 5.3195 Å and the angles 90.00°, 90.00° and 90.00°. The inequivalent atoms are Al at (0.0000, 0.0000, 0.0000), Cd at (0.5000, 0.5000, 0.5000) and Hg at (0.0000, 0.5000, 0.5000).

As for the total energy: -4.4 eV per cell.

---

[5]
Computed, not measured: a relaxed AlMoAu2 crystal at the PBEsol level of DFT.

The structure belongs to space group F-43m (No. 216); the cell edges are 6.3566, 6.3566 and 6.3566 Å and the angles 90.00°, 90.00° and 90.00°. The inequivalent atoms are Al at (0.0000, 0.0000, 0.0000), Mo at (0.2500, 0.2500, 0.7500), Au at (0.0000, 0.0000, 0.5000) and Au at (0.2500, 0.2500, 0.2500).

As for the total energy: -92.4 eV per cell.

---

[6]
Computed, not measured: a relaxed TaCo2Pd crystal at the PBEsol level of DFT.

The structure belongs to space group Fm-3m (No. 225); the cell edges are 5.8963, 5.8963 and 5.8963 Å and the angles 90.00°, 90.00° and 90.00°. The inequivalent atoms are Ta at (0.0000, 0.0000, 0.0000), Co at (0.2500, 0.2500, 0.2500) and Pd at (0.0000, 0.0000, 0.5000).

As for the total energy: -137.7 eV per cell.

---

Number 1: V 21.813 Å³/atom. Number 2: V 15.883 Å³/atom. Number 3: V 14.470 Å³/atom. Number 4: V 30.106 Å³/atom. Number 5: V 16.053 Å³/atom. Number 6: V 12.812 Å³/atom.